VASP calculation (PBE) on an optimized crystal structure of FeCoMo2.

Lattice parameters (Å, degrees): 4.540 4.540 4.540 130.73 130.73 72.24
Fractional positions:
Fe (0.000, 0.000, 0.000)
Co (0.500, 0.500, 0.000)
Mo (0.250, 0.750, 0.500)
Mo (0.750, 0.250, 0.500)

Calculated values
**Polymorph energy (0 for the lowest one)**: 0 meV per atom
**Total energy**: -36.881 eV per cell
**Calculated formation energy**: 2.02 kcal/mol of atoms